# Mg4Cd3Ga

Mg4Cd3Ga after structural relaxation (PBE, the Alexandria database).

Results
Fermi-level density of states in states/eV/cell: 2.346
Crystal system: tetragonal
Total magnetic moment in μB per atom: 0.00
VASP energy in eV/atom: -1.628

a = 3.3618 Å, b = 3.3618 Å, c = 14.8682 Å
α = 90.00°, β = 90.00°, γ = 90.00°
With the nearest neighbours (Å) after each atom.
Fractional positions:
Mg 0.0000 0.0000 0.3682  8 Cd 3.05-3.08, 4 Mg 3.36
Mg 0.0000 0.0000 0.1121  4 Ga 2.90, 4 Cd 3.04
Ga 0.5000 0.5000 0.0000  8 Mg 2.90
Mg 0.0000 0.0000 0.8879  4 Ga 2.90, 4 Cd 3.04
Cd 0.5000 0.5000 0.2397  8 Mg 3.04-3.05, 4 Cd 3.36
Cd 0.5000 0.5000 0.5000  8 Mg 3.08, 4 Cd 3.36
Cd 0.5000 0.5000 0.7603  8 Mg 3.04-3.05, 4 Cd 3.36
Mg 0.0000 0.0000 0.6318  8 Cd 3.05-3.08, 4 Mg 3.36